1.
A relaxed Pm3NdPd2 crystal. Source: Alexandria via LeMat-Bulk, functional GGA-PBE.

Cell lengths 7.117, 7.270, 8.702 Å; angles 114.69, 114.14, 90.00 degrees
Fractional coordinates of all 12 atoms:
Pd: 0.848 0.140 0.281
Pd: 0.152 0.860 0.719
Pd: 0.567 0.360 0.719
Pd: 0.433 0.640 0.281
Nd: 0.000 0.000 0.000
Nd: 0.000 0.500 0.000
Pm: 0.235 0.985 0.470
Pm: 0.765 0.015 0.530
Pm: 0.500 0.250 0.000
Pm: 0.765 0.515 0.530
Pm: 0.500 0.750 0.000
Pm: 0.235 0.485 0.470

Calculated values
Polymorph energy (0 for the lowest one), eV per atom: 0.065
Symmetry: Ibam, No. 72
Energy, eV for the cell shown: -64.0
Calculated formation energy, eV per atom: -0.43

2.
A relaxed RbPtF crystal. Source: Alexandria via LeMat-Bulk, functional GGA-PBE.

Cell lengths 4.658, 4.650, 7.912 Å; angles 90.34, 72.90, 120.05 degrees
Fractional coordinates of all 6 atoms:
F: 0.618 0.797 0.019
F: 0.984 0.974 0.463
Pt: 0.800 0.885 0.742
Pt: 0.133 0.552 0.743
Rb: 0.264 0.120 0.049
Rb: 0.667 0.315 0.438

Calculated values
Polymorph energy (0 for the lowest one), eV per atom: 0.180
Formation energy (no corrections), meV/atom: -1166
Symmetry: Cm, No. 8
Energy, eV for the cell shown: -24.8

3.
A relaxed La3Zn4Rh4 crystal. Source: Alexandria via LeMat-Bulk, functional GGA-PBE.

Cell lengths 4.018, 4.226, 13.686 Å; angles 84.21, 81.54, 89.98 degrees
Fractional coordinates of all 11 atoms:
Rh: 0.309 0.787 0.382
Rh: 0.451 0.390 0.096
Rh: 0.549 0.610 0.904
Rh: 0.691 0.213 0.618
Zn: 0.598 0.140 0.805
Zn: 0.251 0.249 0.498
Zn: 0.749 0.751 0.502
Zn: 0.402 0.860 0.195
La: 0.150 0.678 0.702
La: 0.000 0.000 0.000
La: 0.850 0.322 0.298

Calculated values
Polymorph energy (0 for the lowest one), eV per atom: 0.050
Symmetry: P-1, No. 2
Energy, eV for the cell shown: -55.5
Calculated formation energy, eV per atom: -0.56

4.
A relaxed Sm6Bi5Pb crystal. Source: Alexandria via LeMat-Bulk, functional GGA-PBE.

Cell lengths 7.874, 7.890, 7.893 Å; angles 60.01, 80.38, 70.46 degrees
Fractional coordinates of all 12 atoms:
Sm: 0.249 0.917 0.667
Sm: 0.250 0.249 0.000
Sm: 0.750 0.751 0.000
Sm: 0.249 0.584 0.333
Sm: 0.751 0.416 0.667
Sm: 0.751 0.083 0.333
Bi: 0.500 0.832 0.336
Bi: 0.000 0.666 0.667
Bi: 0.500 0.168 0.664
Bi: 0.500 0.500 0.000
Bi: 0.000 0.334 0.333
Pb: 0.000 0.000 0.000

Calculated values
Symmetry: C2/m, No. 12
Energy, eV for the cell shown: -61.5
Calculated formation energy, eV per atom: -0.84

5.
A relaxed Tl2ReSn crystal. Source: Alexandria via LeMat-Bulk, functional GGA-PBE.

Cell lengths 4.181, 4.181, 11.400 Å; angles 79.43, 79.43, 90.00 degrees
Fractional coordinates of all 8 atoms:
Sn: 0.250 0.750 0.500
Sn: 0.500 0.500 0.000
Re: 0.750 0.250 0.500
Re: 0.000 0.000 0.000
Tl: 0.634 0.125 0.250
Tl: 0.375 0.366 0.750
Tl: 0.116 0.625 0.250
Tl: 0.875 0.884 0.750

Calculated values
Polymorph energy (0 for the lowest one), eV per atom: 0.000
Symmetry: I-42d, No. 122
Energy, eV for the cell shown: -34.5
Calculated formation energy, eV per atom: 0.98

6.
A relaxed Sm2PuNi crystal. Source: Alexandria via LeMat-Bulk, functional GGA-PBE.

Cell lengths 3.853, 3.853, 8.877 Å; angles 77.47, 77.47, 60.00 degrees
Fractional coordinates of all 4 atoms:
Sm: 0.272 0.272 0.184
Sm: 0.728 0.728 0.816
Pu: 0.500 0.500 0.500
Ni: 0.000 0.000 0.000

Calculated values
Symmetry: R-3m, No. 166
Energy, eV for the cell shown: -29.2
Calculated formation energy, eV per atom: 0.09

7.
A relaxed DyMgP2 crystal. Source: Alexandria via LeMat-Bulk, functional GGA-PBE.

Cell lengths 4.015, 4.015, 6.434 Å; angles 71.82, 71.82, 60.00 degrees
Fractional coordinates of all 4 atoms:
Mg: 0.494 0.494 0.517
P: 0.092 0.092 0.725
P: 0.244 0.244 0.267
Dy: 0.669 0.669 0.992

Calculated values
Polymorph energy (0 for the lowest one), eV per atom: 0.000
Symmetry: R3m, No. 160
Energy, eV for the cell shown: -20.5
Calculated formation energy, eV per atom: -0.87

8.
A relaxed CdBiTeI2 crystal. Source: Alexandria via LeMat-Bulk, functional GGA-PBE.

Cell lengths 6.103, 6.103, 6.135 Å; angles 90.00, 90.00, 90.00 degrees
Fractional coordinates of all 5 atoms:
Bi: 0.000 0.000 0.000
I: 0.500 0.000 0.000
I: 0.000 0.500 0.000
Cd: 0.500 0.500 0.500
Te: 0.000 0.000 0.500

Calculated values
Polymorph energy (0 for the lowest one), eV per atom: 0.000
Formation energy (no corrections), meV/atom: 109
Symmetry: P4/mmm, No. 123
Energy, eV for the cell shown: -10.5